BiMo3O | PBE+U | optimized geometry

The total magnetic moment is 13.00 μB/f.u. The energy relative to the lowest polymorph listed for this composition is 6.23 eV per formula unit.

It has space group Pm-3m (No. 221), with a = 5.706 Å, b = 5.706 Å, c = 5.706 Å, α = 90.00°, β = 90.00° and γ = 90.00°. The inequivalent atoms are Bi at (0.000, 0.000, 0.000), Mo at (0.000, 0.000, 0.500) and O at (0.500, 0.500, 0.500).